1.
Below is a relaxed CoP2Br crystal, with properties calculated at the GGA-PBE level.

## Properties
Energy in eV per atom: -4.86
M_tot in μB per atom: 0.000
DOS at the Fermi energy in states/eV per cell: 6.62
Energy above the lowest structure with this stoichiometry in meV per atom: 190.2

a b c (Å): 3.5734 3.5734 19.0886
angles (deg): 90.00 90.00 120.00
Space group R-3m (No. 166, hexagonal axes)
Inequivalent atoms, fractional coordinates:
Co (0.0000, 0.0000, 0.0000) [3 per cell]
P (0.0000, 0.0000, 0.2875) [6 per cell]
Br (0.0000, 0.0000, 0.5000) [3 per cell]



2.
Below is a relaxed CoP2Br crystal, with properties calculated at the GGA-PBE level.

## Properties
Energy in eV per atom: -4.61
M_tot in μB per atom: 0.003
DOS at the Fermi energy in states/eV per cell: 3.85
Energy above the lowest structure with this stoichiometry in meV per atom: 436.2

a b c (Å): 3.081 3.081 7.490
angles (deg): 90.00 90.00 90.00
Space group P4mm (No. 99)
Inequivalent atoms, fractional coordinates:
Co (0.000, 0.000, 0.000) [1 per cell]
P (0.000, 0.000, 0.300) [1 per cell]
P (0.500, 0.500, 0.150) [1 per cell]
Br (0.500, 0.500, 0.748) [1 per cell]



3.
Below is a relaxed CoPBr crystal, with properties calculated at the GGA-PBE level.

## Properties
Energy in eV per atom: -4.28
M_tot in μB per atom: 0.000
DOS at the Fermi energy in states/eV per cell: 10.48
Energy above the lowest structure with this stoichiometry in meV per atom: 524.6

a b c (Å): 5.876 5.876 5.876
angles (deg): 90.00 90.00 90.00
Space group F-43m (No. 216)
Inequivalent atoms, fractional coordinates:
Co (0.000, 0.000, 0.000) [4 per cell]
P (0.250, 0.250, 0.750) [4 per cell]
Br (0.250, 0.250, 0.250) [4 per cell]



4.
Below is a relaxed CoP2Br crystal, with properties calculated at the GGA-PBE level.

## Properties
Energy in eV per atom: -4.98
M_tot in μB per atom: 0.304
DOS at the Fermi energy in states/eV per cell: 2.15
Energy above the lowest structure with this stoichiometry in meV per atom: 64.8

a b c (Å): 3.974 3.241 7.554
angles (deg): 90.00 90.14 90.00
Space group Pm (No. 6)
Inequivalent atoms, fractional coordinates:
Co (0.000, 0.000, 0.000) [1 per cell]
P (0.207, 0.500, 0.241) [1 per cell]
P (0.507, 0.000, 0.127) [1 per cell]
Br (0.980, 0.500, 0.770) [1 per cell]



5.
Below is a relaxed CoP2Br crystal, with properties calculated at the GGA-PBE level.

## Properties
Energy in eV per atom: -4.27
M_tot in μB per atom: 0.464
DOS at the Fermi energy in states/eV per cell: 5.98
Energy above the lowest structure with this stoichiometry in meV per atom: 780.9

a b c (Å): 3.394 3.394 7.136
angles (deg): 90.00 90.00 90.00
Space group P4/mmm (No. 123)
Inequivalent atoms, fractional coordinates:
Co (0.000, 0.000, 0.000) [1 per cell]
P (0.000, 0.500, 0.500) [2 per cell]
Br (0.500, 0.500, 0.000) [1 per cell]



6.
Below is a relaxed CoPBr crystal, with properties calculated at the GGA-PBE level.

## Properties
Energy in eV per atom: -3.63
M_tot in μB per atom: 0.393
DOS at the Fermi energy in states/eV per cell: 17.60
Energy above the lowest structure with this stoichiometry in meV per atom: 1178.3

a b c (Å): 6.104 6.104 6.104
angles (deg): 90.00 90.00 90.00
Space group F-43m (No. 216)
Inequivalent atoms, fractional coordinates:
Co (0.000, 0.000, 0.000) [4 per cell]
P (0.250, 0.250, 0.250) [4 per cell]
Br (0.000, 0.000, 0.500) [4 per cell]



7.
Below is a relaxed CoP2Br crystal, with properties calculated at the GGA-PBE level.

## Properties
Energy in eV per atom: -4.01
M_tot in μB per atom: 0.372
DOS at the Fermi energy in states/eV per cell: 15.59
Energy above the lowest structure with this stoichiometry in meV per atom: 1034.7

a b c (Å): 6.293 6.293 6.293
angles (deg): 90.00 90.00 90.00
Space group F-43m (No. 216)
Inequivalent atoms, fractional coordinates:
Co (0.000, 0.000, 0.000) [4 per cell]
P (0.000, 0.000, 0.500) [4 per cell]
P (0.250, 0.250, 0.250) [4 per cell]
Br (0.250, 0.250, 0.750) [4 per cell]



8.
Below is a relaxed Co3PBr crystal, with properties calculated at the GGA-PBE level.

## Properties
Energy in eV per atom: -4.34
M_tot in μB per atom: 0.620
DOS at the Fermi energy in states/eV per cell: 7.87
Energy above the lowest structure with this stoichiometry in meV per atom: 815.4

a b c (Å): 4.351 4.351 4.351
angles (deg): 90.00 90.00 90.00
Space group Pm-3m (No. 221)
Inequivalent atoms, fractional coordinates:
Co (0.000, 0.000, 0.500) [3 per cell]
P (0.500, 0.500, 0.500) [1 per cell]
Br (0.000, 0.000, 0.000) [1 per cell]